# 1
DFT (PBE) results for a relaxed AlCuTc2 crystal.

```
AlCuTc2
1.0
1.463 -2.258 0.000
1.463 2.258 0.000
0.000 0.000 8.629
Al Cu Tc
1 1 2
direct
0.000 0.000 0.000 Al
0.500 0.500 0.763 Cu
0.000 0.000 0.503 Tc
0.500 0.500 0.253 Tc
```

Calculated values
Crystal system: orthorhombic
Formation energy, eV/atom: 0.076
Space group: Cmm2
ρ, g/cm3: 8.343
V, Å³/f.u.: 57
Magnetization, μB per formula unit: 0.00



# 2
DFT (PBE) results for a relaxed KAgClF crystal.

```
KAgClF
1.0
4.280 0.000 0.000
-2.140 3.707 0.000
0.000 0.000 12.705
K Ag Cl F
2 2 2 2
direct
0.333 0.667 0.000 K
0.667 0.333 0.500 K
0.000 0.000 0.258 Ag
0.000 0.000 0.758 Ag
0.333 0.667 0.688 Cl
0.667 0.333 0.188 Cl
0.000 0.000 0.440 F
0.000 0.000 0.940 F
```

Calculated values
Crystal system: hexagonal
Space group: P6_3mc
ρ, g/cm3: 3.318
Uncorrected formation energy, eV/atom: -1.5611
V, Å³/f.u.: 101
Magnetization, μB per formula unit: 0.00



# 3
DFT (PBE) results for a relaxed Np2Ir3Ru3 crystal.

```
Np2Ir3Ru3
1.0
4.009 0.000 0.000
0.000 4.062 0.000
0.000 0.000 7.912
Np Ir Ru
2 3 3
direct
0.000 0.000 0.246 Np
0.000 0.000 0.754 Np
0.000 0.500 0.500 Ir
0.500 0.500 0.251 Ir
0.500 0.500 0.749 Ir
0.000 0.500 0.000 Ru
0.500 0.000 0.000 Ru
0.500 0.000 0.500 Ru
```

Calculated values
Crystal system: orthorhombic
Formation energy, eV/atom: -0.284
Space group: Pmmm
ρ, g/cm3: 17.450
V, Å³/f.u.: 129
Magnetization, μB per formula unit: 1.85



# 4
DFT (PBE) results for a relaxed ReTePd3 crystal.

```
ReTePd3
1.0
4.840 0.000 0.000
0.000 4.840 0.000
0.000 0.000 4.840
Re Te Pd
1 1 3
direct
0.000 0.000 0.000 Re
0.500 0.500 0.500 Te
0.000 0.000 0.500 Pd
0.000 0.500 0.000 Pd
0.500 0.000 0.000 Pd
```

Calculated values
Crystal system: cubic
Space group: Pm-3m
ρ, g/cm3: 9.273
Uncorrected formation energy, eV/atom: 1.1106
V, Å³/f.u.: 113
Magnetization, μB per formula unit: 0.00



The records above yield total DFT energy (no corrections) values of -7.067 -3.478 -10.321 -5.123 eV/atom, respectively.